1.
Density functional theory data (GGA-PBE) for Y2Mg2Hg after structural relaxation.

Cell: 5.1600 5.1600 6.4155 Å, 113.63 113.63 60.04°
Fractional coordinates of all 5 atoms:
Y 0.1032 0.1032 0.3100
Y 0.8968 0.8968 0.6900
Mg 0.3204 0.3204 0.9610
Mg 0.6796 0.6796 0.0390
Hg 0.5000 0.5000 0.5000

Summary:
Its relative energy among the computed polymorphs is 0 meV per atom. Its space group is C2/m.

2.
Density functional theory data (GGA-PBE) for Y2MgHg after structural relaxation.

Cell: 7.4784 7.4784 7.4784 Å, 152.66 140.00 49.14°
Fractional coordinates of all 4 atoms:
Y 0.2152 0.2152 0.0000
Y 0.7848 0.7848 0.0000
Mg 0.5000 0.5000 0.0000
Hg 0.0000 0.0000 0.0000

Summary:
Its relative energy among the computed polymorphs is 546 meV per atom. Its space group is Immm.

3.
Density functional theory data (GGA-PBE) for YMgHg2 after structural relaxation.

Cell: 5.0819 5.0819 5.0819 Å, 60.00 60.00 60.00°
Fractional coordinates of all 4 atoms:
Y 0.0000 0.0000 0.0000
Mg 0.7500 0.7500 0.7500
Hg 0.2500 0.2500 0.2500
Hg 0.5000 0.5000 0.5000

Summary:
Its space group is F-43m.

4.
Density functional theory data (GGA-PBE) for Y2MgHg2 after structural relaxation.

Cell: 7.1704 7.1704 7.1704 Å, 140.25 140.25 57.48°
Fractional coordinates of all 5 atoms:
Y 0.2500 0.7500 0.5000
Y 0.7500 0.2500 0.5000
Mg 0.0000 0.0000 0.0000
Hg 0.3927 0.3927 0.0000
Hg 0.6073 0.6073 0.0000

Summary:
Its relative energy among the computed polymorphs is 401 meV per atom. Its space group is I4/mmm.

5.
Density functional theory data (GGA-PBE) for Y2Mg3Hg2 after structural relaxation.

Cell: 5.9435 5.9435 7.2506 Å, 98.46 98.46 44.50°
Fractional coordinates of all 7 atoms:
Y 0.1209 0.1209 0.3525
Y 0.8791 0.8791 0.6475
Mg 0.1903 0.1903 0.8726
Mg 0.5000 0.5000 0.0000
Mg 0.8097 0.8097 0.1274
Hg 0.3968 0.3968 0.3420
Hg 0.6032 0.6032 0.6580

Summary:
Its space group is C2/m.

6.
Density functional theory data (GGA-PBE) for Y2MgHg after structural relaxation.

Cell: 3.8337 3.8337 7.2987 Å, 90.00 90.00 90.00°
Fractional coordinates of all 4 atoms:
Y 0.0000 0.0000 0.0000
Y 0.5000 0.5000 0.2971
Mg 0.5000 0.5000 0.7484
Hg 0.0000 0.0000 0.5370

Summary:
Its relative energy among the computed polymorphs is 110 meV per atom. Its space group is P4mm.

7.
Density functional theory data (GGA-PBE) for Y2MgHg4 after structural relaxation.

Cell: 8.8816 8.8816 8.8816 Å, 32.67 32.67 32.67°
Fractional coordinates of all 7 atoms:
Y 0.2501 0.2501 0.2501
Y 0.7499 0.7499 0.7499
Mg 0.0000 0.0000 0.0000
Hg 0.1279 0.1279 0.1279
Hg 0.3754 0.3754 0.3754
Hg 0.6246 0.6246 0.6246
Hg 0.8721 0.8721 0.8721

Summary:
Its space group is R-3m.

8.
Density functional theory data (GGA-PBE) for Y3Mg5Hg12 after structural relaxation.

Cell: 14.5971 14.5971 14.5971 Å, 109.47 109.47 109.47°
Fractional coordinates of all 80 atoms:
Y 0.1250 0.2500 0.3750
Y 0.1250 0.3750 0.7500
Y 0.2500 0.3750 0.1250
Y 0.2500 0.8750 0.6250
Y 0.3750 0.1250 0.2500
Y 0.3750 0.7500 0.1250
Y 0.6250 0.2500 0.8750
Y 0.6250 0.8750 0.7500
Y 0.7500 0.1250 0.3750
Y 0.7500 0.6250 0.8750
Y 0.8750 0.6250 0.2500
Y 0.8750 0.7500 0.6250
Mg 0.0000 0.0000 0.0000
Mg 0.0000 0.0000 0.5000
Mg 0.0000 0.5000 0.0000
Mg 0.0000 0.5000 0.5000
Mg 0.1250 0.7500 0.8750
Mg 0.1250 0.8750 0.2500
Mg 0.2500 0.1250 0.8750
Mg 0.2500 0.6250 0.3750
Mg 0.3750 0.2500 0.6250
Mg 0.3750 0.6250 0.7500
Mg 0.5000 0.0000 0.0000
Mg 0.5000 0.0000 0.5000
Mg 0.5000 0.5000 0.0000
Mg 0.5000 0.5000 0.5000
Mg 0.6250 0.3750 0.2500
Mg 0.6250 0.7500 0.3750
Mg 0.7500 0.3750 0.6250
Mg 0.7500 0.8750 0.1250
Mg 0.8750 0.1250 0.7500
Mg 0.8750 0.2500 0.1250
Hg 0.0555 0.2215 0.1339
Hg 0.0555 0.3340 0.9216
Hg 0.0784 0.6339 0.4124
Hg 0.0784 0.9445 0.6660
Hg 0.0876 0.7215 0.6660
Hg 0.0876 0.8661 0.4216
Hg 0.1339 0.0555 0.2215
Hg 0.1339 0.5784 0.9124
Hg 0.1660 0.2215 0.5876
Hg 0.1660 0.4445 0.5784
Hg 0.2215 0.1339 0.0555
Hg 0.2215 0.5876 0.1660
Hg 0.2785 0.3340 0.9124
Hg 0.2785 0.4445 0.3661
Hg 0.3340 0.9124 0.2785
Hg 0.3340 0.9216 0.0555
Hg 0.3661 0.2785 0.4445
Hg 0.3661 0.5876 0.9216
Hg 0.4124 0.0784 0.6339
Hg 0.4124 0.8340 0.7785
Hg 0.4216 0.0876 0.8661
Hg 0.4216 0.8340 0.5555
Hg 0.4445 0.3661 0.2785
Hg 0.4445 0.5784 0.1660
Hg 0.5555 0.4216 0.8340
Hg 0.5555 0.6339 0.7215
Hg 0.5784 0.1660 0.4445
Hg 0.5784 0.9124 0.1339
Hg 0.5876 0.1660 0.2215
Hg 0.5876 0.9216 0.3661
Hg 0.6339 0.4124 0.0784
Hg 0.6339 0.7215 0.5555
Hg 0.6660 0.0784 0.9445
Hg 0.6660 0.0876 0.7215
Hg 0.7215 0.5555 0.6339
Hg 0.7215 0.6660 0.0876
Hg 0.7785 0.4124 0.8340
Hg 0.7785 0.8661 0.9445
Hg 0.8340 0.5555 0.4216
Hg 0.8340 0.7785 0.4124
Hg 0.8661 0.4216 0.0876
Hg 0.8661 0.9445 0.7785
Hg 0.9124 0.1339 0.5784
Hg 0.9124 0.2785 0.3340
Hg 0.9216 0.0555 0.3340
Hg 0.9216 0.3661 0.5876
Hg 0.9445 0.6660 0.0784
Hg 0.9445 0.7785 0.8661

Summary:
Its space group is Ia-3d.

9.
Density functional theory data (GGA-PBE) for YMg2Hg8 after structural relaxation.

Cell: 8.2494 8.2494 7.1654 Å, 105.67 105.67 33.44°
Fractional coordinates of all 11 atoms:
Y 0.0000 0.0000 0.0000
Mg 0.2650 0.2650 0.3445
Mg 0.7350 0.7350 0.6555
Hg 0.0966 0.0966 0.4708
Hg 0.1869 0.1869 0.9135
Hg 0.3600 0.3600 0.7745
Hg 0.4450 0.4450 0.2537
Hg 0.5550 0.5550 0.7463
Hg 0.6400 0.6400 0.2255
Hg 0.8131 0.8131 0.0865
Hg 0.9034 0.9034 0.5292

Summary:
Its space group is C2/m.

10.
Density functional theory data (GGA-PBE) for YMg4Hg2 after structural relaxation.

Cell: 9.0562 9.0562 4.3360 Å, 90.00 90.00 152.13°
Fractional coordinates of all 7 atoms:
Y 0.0000 0.0000 0.0000
Mg 0.1819 0.8181 0.5000
Mg 0.3160 0.6840 0.0000
Mg 0.6840 0.3160 0.0000
Mg 0.8181 0.1819 0.5000
Hg 0.4203 0.5797 0.5000
Hg 0.5797 0.4203 0.5000

Summary:
Its relative energy among the computed polymorphs is 38 meV per atom. Its space group is Cmmm.

11.
Density functional theory data (GGA-PBE) for YMgHg4 after structural relaxation.

Cell: 5.3722 5.3722 7.3740 Å, 108.04 108.04 45.32°
Fractional coordinates of all 6 atoms:
Y 0.0000 0.0000 0.0000
Mg 0.0000 0.0000 0.5000
Hg 0.3301 0.3301 0.6590
Hg 0.3390 0.3390 0.1835
Hg 0.6610 0.6610 0.8165
Hg 0.6699 0.6699 0.3410

Summary:
Its relative energy among the computed polymorphs is 0 meV per atom. Its space group is C2/m.

12.
Density functional theory data (GGA-PBE) for YMgHg after structural relaxation.

Cell: 5.0262 5.0262 5.0262 Å, 60.00 60.00 60.00°
Fractional coordinates of all 3 atoms:
Y 0.0000 0.0000 0.0000
Mg 0.2500 0.2500 0.2500
Hg 0.7500 0.7500 0.7500

Summary:
Its space group is F-43m.

Result set for DFT formation energy: -105, 92, -84, -11, -178, -76, -226, 18, -186, -136, -154, 54 kJ/mol of formula units, one per record in the order listed.